# 1
# PrSm12Tm3, relaxed, DFT PBE
# Formation enthalpy at 0 K in kJ per mole of atoms: 1.7
# Crystal system: tetragonal
# Theoretical density in g cm⁻³: 7.68
data_PrSm12Tm3
_chemical_formula_sum 'Pr1 Sm12 Tm3'
_cell_length_a 5.101
_cell_length_b 5.101
_cell_length_c 20.372
_cell_angle_alpha 90.00
_cell_angle_beta 90.00
_cell_angle_gamma 90.00
_space_group_name_H-M_alt 'P 1'
_space_group_IT_number 1
_space_group_name_Hall 'P 1'
loop_
_atom_site_label
_atom_site_fract_x
_atom_site_fract_y
_atom_site_fract_z
_atom_site_occupancy
Pr1 0.000 0.000 0.000 1
Sm1 0.500 0.500 0.000 1
Sm2 0.500 0.500 0.253 1
Sm3 0.500 0.500 0.500 1
Sm4 0.500 0.500 0.747 1
Sm5 0.500 0.000 0.128 1
Sm6 0.500 0.000 0.376 1
Sm7 0.500 0.000 0.624 1
Sm8 0.500 0.000 0.872 1
Sm9 0.000 0.500 0.128 1
Sm10 0.000 0.500 0.376 1
Sm11 0.000 0.500 0.624 1
Sm12 0.000 0.500 0.872 1
Tm1 0.000 0.000 0.252 1
Tm2 0.000 0.000 0.500 1
Tm3 0.000 0.000 0.748 1

# 2
# Cs3U2ZnTe6, relaxed, DFT PBE
# E_form (uncorrected) in eV per formula unit: -8.91
# Crystal system: monoclinic
# Theoretical density in g cm⁻³: 5.92
data_Cs3U2ZnTe6
_chemical_formula_sum 'Cs3 U2 Zn1 Te6'
_cell_length_a 7.920
_cell_length_b 7.920
_cell_length_c 9.190
_cell_angle_alpha 98.26
_cell_angle_beta 98.26
_cell_angle_gamma 120.00
_space_group_name_H-M_alt 'P 1'
_space_group_IT_number 1
_space_group_name_Hall 'P 1'
loop_
_atom_site_label
_atom_site_fract_x
_atom_site_fract_y
_atom_site_fract_z
_atom_site_occupancy
Cs1 0.167 0.833 0.500 1
Cs2 0.833 0.167 0.500 1
Cs3 0.500 0.500 0.500 1
U1 0.333 0.667 0.000 1
U2 0.667 0.333 0.000 1
Zn1 0.000 0.000 0.000 1
Te1 0.939 0.612 0.818 1
Te2 0.734 0.734 0.182 1
Te3 0.061 0.388 0.182 1
Te4 0.612 0.939 0.818 1
Te5 0.266 0.266 0.818 1
Te6 0.388 0.061 0.182 1

# 3
# TiTcP2, relaxed, DFT PBE
# Formation enthalpy at 0 K in kJ per mole of atoms: -20.0
# Crystal system: tetragonal
# Theoretical density in g cm⁻³: 4.40
# Energy above the most stable polymorph in this dataset in eV/f.u.: 1.98
data_TiTcP2
_chemical_formula_sum 'Ti2 Tc2 P4'
_cell_length_a 5.109
_cell_length_b 5.109
_cell_length_c 7.011
_cell_angle_alpha 68.63
_cell_angle_beta 68.63
_cell_angle_gamma 90.00
_space_group_name_H-M_alt 'P 1'
_space_group_IT_number 1
_space_group_name_Hall 'P 1'
loop_
_atom_site_label
_atom_site_fract_x
_atom_site_fract_y
_atom_site_fract_z
_atom_site_occupancy
P1 0.653 0.125 0.250 1
P2 0.097 0.625 0.250 1
P3 0.375 0.347 0.750 1
P4 0.875 0.903 0.750 1
Tc1 0.000 0.000 0.000 1
Tc2 0.750 0.250 0.500 1
Ti1 0.500 0.500 0.000 1
Ti2 0.250 0.750 0.500 1

# 4
# LaNd2, relaxed, DFT PBE
# Formation enthalpy at 0 K in kJ per mole of atoms: 1.5
# Crystal system: triclinic
# Theoretical density in g cm⁻³: 6.58
# Energy above the most stable polymorph in this dataset in eV/f.u.: 0.00
data_LaNd2
_chemical_formula_sum 'La1 Nd2'
_cell_length_a 6.407
_cell_length_b 6.423
_cell_length_c 3.707
_cell_angle_alpha 54.82
_cell_angle_beta 73.24
_cell_angle_gamma 59.89
_space_group_name_H-M_alt 'P 1'
_space_group_IT_number 1
_space_group_name_Hall 'P 1'
loop_
_atom_site_label
_atom_site_fract_x
_atom_site_fract_y
_atom_site_fract_z
_atom_site_occupancy
La1 0.500 0.000 0.500 1
Nd1 0.835 0.333 0.500 1
Nd2 0.165 0.667 0.500 1

# 5
# LaAl3Os, relaxed, DFT PBE
# Formation enthalpy at 0 K in kJ per mole of atoms: -39.9
# Crystal system: cubic
# Theoretical density in g cm⁻³: 6.32
# Energy above the most stable polymorph in this dataset in eV/f.u.: 0.17
data_LaAl3Os
_chemical_formula_sum 'La1 Al3 Os1'
_cell_length_a 4.760
_cell_length_b 4.760
_cell_length_c 4.760
_cell_angle_alpha 90.00
_cell_angle_beta 90.00
_cell_angle_gamma 90.00
_space_group_name_H-M_alt 'P 1'
_space_group_IT_number 1
_space_group_name_Hall 'P 1'
loop_
_atom_site_label
_atom_site_fract_x
_atom_site_fract_y
_atom_site_fract_z
_atom_site_occupancy
Os1 0.000 0.000 0.000 1
Al1 0.000 0.500 0.000 1
Al2 0.000 0.000 0.500 1
Al3 0.500 0.000 0.000 1
La1 0.500 0.500 0.500 1

# 6
# Pr2Y4HoTm2, relaxed, DFT PBE
# Formation enthalpy at 0 K in kJ per mole of atoms: 8.1
# Crystal system: triclinic
# Theoretical density in g cm⁻³: 6.43
data_Pr2Y4HoTm2
_chemical_formula_sum 'Pr2 Y4 Ho1 Tm2'
_cell_length_a 6.830
_cell_length_b 10.002
_cell_length_c 6.625
_cell_angle_alpha 121.30
_cell_angle_beta 127.16
_cell_angle_gamma 59.04
_space_group_name_H-M_alt 'P 1'
_space_group_IT_number 1
_space_group_name_Hall 'P 1'
loop_
_atom_site_label
_atom_site_fract_x
_atom_site_fract_y
_atom_site_fract_z
_atom_site_occupancy
Pr1 0.270 0.656 0.607 1
Pr2 0.730 0.344 0.393 1
Y1 0.746 0.885 0.204 1
Y2 0.610 0.763 0.502 1
Y3 0.254 0.115 0.796 1
Y4 0.390 0.237 0.498 1
Ho1 0.000 0.000 0.000 1
Tm1 0.824 0.446 0.037 1
Tm2 0.176 0.554 0.963 1

# 7
# AcPrGa, relaxed, DFT PBE
# Formation enthalpy at 0 K in kJ per mole of atoms: -27.3
# Crystal system: tetragonal
# Theoretical density in g cm⁻³: 7.47
# Energy above the most stable polymorph in this dataset in eV/f.u.: 0.17
data_AcPrGa
_chemical_formula_sum 'Ac1 Pr1 Ga1'
_cell_length_a 3.888
_cell_length_b 3.888
_cell_length_c 7.001
_cell_angle_alpha 106.12
_cell_angle_beta 106.12
_cell_angle_gamma 90.00
_space_group_name_H-M_alt 'P 1'
_space_group_IT_number 1
_space_group_name_Hall 'P 1'
loop_
_atom_site_label
_atom_site_fract_x
_atom_site_fract_y
_atom_site_fract_z
_atom_site_occupancy
Pr1 0.030 0.030 0.061 1
Ac1 0.312 0.312 0.624 1
Ga1 0.657 0.657 0.315 1

# 8
# Li2RuF, relaxed, DFT PBE
# E_form (uncorrected) in eV per formula unit: -5.21
# Crystal system: hexagonal
# Theoretical density in g cm⁻³: 5.05
# Energy above the most stable polymorph in this dataset in eV/f.u.: 0.05
data_Li2RuF
_chemical_formula_sum 'Li2 Ru1 F1'
_cell_length_a 2.674
_cell_length_b 2.674
_cell_length_c 7.118
_cell_angle_alpha 90.00
_cell_angle_beta 90.00
_cell_angle_gamma 120.00
_space_group_name_H-M_alt 'P 1'
_space_group_IT_number 1
_space_group_name_Hall 'P 1'
loop_
_atom_site_label
_atom_site_fract_x
_atom_site_fract_y
_atom_site_fract_z
_atom_site_occupancy
Li1 0.000 0.000 0.174 1
Li2 0.000 0.000 0.826 1
Ru1 0.333 0.667 0.500 1
F1 0.667 0.333 0.000 1

# 9
# Ag2Br2F, relaxed, DFT PBE
# E_form (uncorrected) in eV per formula unit: -2.68
# Crystal system: orthorhombic
# Theoretical density in g cm⁻³: 5.48
# Energy above the most stable polymorph in this dataset in eV/f.u.: 0.00
data_Ag2Br2F
_chemical_formula_sum 'Ag8 Br8 F4'
_cell_length_a 6.305
_cell_length_b 7.252
_cell_length_c 10.451
_cell_angle_alpha 90.00
_cell_angle_beta 90.00
_cell_angle_gamma 90.00
_space_group_name_H-M_alt 'P 1'
_space_group_IT_number 1
_space_group_name_Hall 'P 1'
loop_
_atom_site_label
_atom_site_fract_x
_atom_site_fract_y
_atom_site_fract_z
_atom_site_occupancy
Ag1 0.750 0.452 0.769 1
Ag2 0.250 0.048 0.269 1
Ag3 0.250 0.548 0.231 1
Ag4 0.750 0.952 0.731 1
Ag5 0.750 0.856 0.077 1
Ag6 0.250 0.644 0.577 1
Ag7 0.250 0.144 0.923 1
Ag8 0.750 0.356 0.423 1
Br1 0.750 0.675 0.561 1
Br2 0.250 0.825 0.061 1
Br3 0.250 0.325 0.439 1
Br4 0.750 0.175 0.939 1
Br5 0.750 0.040 0.294 1
Br6 0.250 0.460 0.794 1
Br7 0.250 0.960 0.706 1
Br8 0.750 0.540 0.206 1
F1 0.750 0.217 0.610 1
F2 0.250 0.283 0.110 1
F3 0.250 0.783 0.390 1
F4 0.750 0.717 0.890 1

# 10
# CsCuH6Rh, relaxed, DFT PBE
# E in eV for the cell shown: -33.096
# Crystal system: triclinic
# Theoretical density in g cm⁻³: 4.34
data_CsCuH6Rh
_chemical_formula_sum 'Cs1 Cu1 H6 Rh1'
_cell_length_a 4.874
_cell_length_b 4.826
_cell_length_c 6.380
_cell_angle_alpha 88.47
_cell_angle_beta 87.22
_cell_angle_gamma 51.28
_space_group_name_H-M_alt 'P 1'
_space_group_IT_number 1
_space_group_name_Hall 'P 1'
loop_
_atom_site_label
_atom_site_fract_x
_atom_site_fract_y
_atom_site_fract_z
_atom_site_occupancy
Cs1 0.932 0.001 0.991 1
Cu1 0.641 0.672 0.490 1
H1 0.111 0.339 0.308 1
H2 0.334 0.086 0.627 1
H3 0.491 0.495 0.665 1
H4 0.000 0.483 0.660 1
H5 0.452 0.557 0.312 1
H6 0.727 0.975 0.457 1
Rh1 0.312 0.392 0.489 1

# 11
# ZrNiH3, relaxed, DFT PBE
# E in eV for the cell shown: -25.942
# Crystal system: cubic
# Theoretical density in g cm⁻³: 6.51
data_ZrNiH3
_chemical_formula_sum 'Zr1 Ni1 H3'
_cell_length_a 3.391
_cell_length_b 3.391
_cell_length_c 3.391
_cell_angle_alpha 90.00
_cell_angle_beta 90.00
_cell_angle_gamma 90.00
_space_group_name_H-M_alt 'P 1'
_space_group_IT_number 1
_space_group_name_Hall 'P 1'
loop_
_atom_site_label
_atom_site_fract_x
_atom_site_fract_y
_atom_site_fract_z
_atom_site_occupancy
Ni1 0.000 0.000 0.000 1
Zr1 0.500 0.500 0.500 1
H1 0.000 0.500 0.000 1
H2 0.000 0.000 0.500 1
H3 0.500 0.000 0.000 1

# 12
# DyMnPtAu, relaxed, DFT PBE
# Formation enthalpy at 0 K in kJ per mole of atoms: -57.0
# Crystal system: cubic
# Theoretical density in g cm⁻³: 13.13
data_DyMnPtAu
_chemical_formula_sum 'Dy1 Mn1 Pt1 Au1'
_cell_length_a 4.778
_cell_length_b 4.778
_cell_length_c 4.778
_cell_angle_alpha 60.00
_cell_angle_beta 60.00
_cell_angle_gamma 60.00
_space_group_name_H-M_alt 'P 1'
_space_group_IT_number 1
_space_group_name_Hall 'P 1'
loop_
_atom_site_label
_atom_site_fract_x
_atom_site_fract_y
_atom_site_fract_z
_atom_site_occupancy
Mn1 0.500 0.500 0.500 1
Au1 0.250 0.250 0.250 1
Pt1 0.750 0.750 0.750 1
Dy1 0.000 0.000 0.000 1

> The lowest theoretical density belongs to which entry?

CsCuH6Rh

> What is the theoretical density in the twelfth record?

13.13 g cm⁻³

> Which value of theoretical density does entry 8 give?

5.05 g cm⁻³

Repeat the fifth record exactly.
# LaAl3Os, relaxed, DFT PBE
# Formation enthalpy at 0 K in kJ per mole of atoms: -39.9
# Crystal system: cubic
# Theoretical density in g cm⁻³: 6.32
# Energy above the most stable polymorph in this dataset in eV/f.u.: 0.17
data_LaAl3Os
_chemical_formula_sum 'La1 Al3 Os1'
_cell_length_a 4.760
_cell_length_b 4.760
_cell_length_c 4.760
_cell_angle_alpha 90.00
_cell_angle_beta 90.00
_cell_angle_gamma 90.00
_space_group_name_H-M_alt 'P 1'
_space_group_IT_number 1
_space_group_name_Hall 'P 1'
loop_
_atom_site_label
_atom_site_fract_x
_atom_site_fract_y
_atom_site_fract_z
_atom_site_occupancy
Os1 0.000 0.000 0.000 1
Al1 0.000 0.500 0.000 1
Al2 0.000 0.000 0.500 1
Al3 0.500 0.000 0.000 1
La1 0.500 0.500 0.500 1